Record 1
# GGA-PBE Cs2CeYO4, optimized geometry
# electronic total energy: -54.4 eV per cell
# energy relative to the elements, uncorrected: -2.5600 eV per atom
# calculated volume: 19.8 Å³/atom
data_Cs2CeYO4
_cell_length_a 6.276
_cell_length_b 3.634
_cell_length_c 7.255
_cell_angle_alpha 90.00
_cell_angle_beta 106.67
_cell_angle_gamma 90.00
_symmetry_space_group_name_H-M 'P 1 2/m 1'
_symmetry_Int_Tables_number 10
_symmetry_space_group_name_Hall '-P 2y'
loop_
_atom_site_label
_atom_site_type_symbol
_atom_site_fract_x
_atom_site_fract_y
_atom_site_fract_z
Cs1 Cs 0.000 0.000 0.000
Cs2 Cs 0.500 0.500 0.000
Ce1 Ce 0.000 0.500 0.500
Y1 Y 0.500 0.000 0.500
O1 O 0.225 0.000 0.661
O2 O 0.284 0.500 0.339


Record 2
# GGA-PBE CsCeP2, optimized geometry
# electronic total energy: -60.6 eV per cell
# calculated volume: 32.6 Å³/atom
data_CsCeP2
_cell_length_a 4.3351
_cell_length_b 4.3351
_cell_length_c 24.0692
_cell_angle_alpha 90.00
_cell_angle_beta 90.00
_cell_angle_gamma 120.00
_symmetry_space_group_name_H-M 'R -3 m'
_symmetry_Int_Tables_number 166
_symmetry_space_group_name_Hall '-R 3 2"'
loop_
_atom_site_label
_atom_site_type_symbol
_atom_site_fract_x
_atom_site_fract_y
_atom_site_fract_z
Cs1 Cs 0.0000 0.0000 0.0000
Ce1 Ce 0.0000 0.0000 0.5000
P1 P 0.0000 0.0000 0.2214


Record 3
# GGA-PBE Cs2CePS6, optimized geometry
# electronic total energy: -46.3 eV per cell
# energy relative to the elements, uncorrected: -0.8509 eV per atom
# calculated volume: 32.3 Å³/atom
data_Cs2CePS6
_cell_length_a 7.6300
_cell_length_b 7.6300
_cell_length_c 6.3974
_cell_angle_alpha 90.00
_cell_angle_beta 90.00
_cell_angle_gamma 120.00
_symmetry_space_group_name_H-M 'P -3 m 1'
_symmetry_Int_Tables_number 164
_symmetry_space_group_name_Hall '-P 3 2"'
loop_
_atom_site_label
_atom_site_type_symbol
_atom_site_fract_x
_atom_site_fract_y
_atom_site_fract_z
Cs1 Cs 0.3333 0.6667 0.2104
Ce1 Ce 0.0000 0.0000 0.5000
P1 P 0.0000 0.0000 0.0000
S1 S 0.1428 0.2856 0.8038